[1]
VASP calculation (PBE-GGA) on a relaxed La9Pr4Dy crystal.

Cell lengths 11.671, 10.120, 10.120 Å; angles 120.00, 90.00, 90.00 degrees
Atoms (fractional coordinates):
La (0.469, 0.415, 0.207)
La (0.969, 0.207, 0.415)
La (0.531, 0.207, 0.415)
La (0.250, 0.460, 0.540)
Pr (0.250, 0.771, 0.885)
Pr (0.750, 0.885, 0.115)
La (0.469, 0.793, 0.585)
Pr (0.250, 0.115, 0.229)
La (0.531, 0.585, 0.793)
La (0.031, 0.415, 0.207)
La (0.031, 0.793, 0.585)
Pr (0.250, 0.115, 0.885)
La (0.031, 0.793, 0.207)
Pr (0.000, 0.000, 0.000)
Dy (0.250, 0.667, 0.333)
Pr (0.750, 0.885, 0.771)
Pr (0.750, 0.229, 0.115)
La (0.750, 0.540, 0.079)
La (0.750, 0.540, 0.460)
La (0.250, 0.460, 0.921)
La (0.531, 0.207, 0.793)
Dy (0.750, 0.333, 0.667)
La (0.469, 0.793, 0.207)
La (0.969, 0.585, 0.793)
La (0.250, 0.079, 0.540)
La (0.750, 0.921, 0.460)
Pr (0.500, 0.000, 0.000)
La (0.969, 0.207, 0.793)

Energy of formation   13 kJ per mole of atoms


[2]
VASP calculation (PBE-GGA) on a relaxed PrSm2DyEr2 crystal.

Cell lengths 3.415, 6.529, 18.111 Å; angles 90.00, 90.00, 90.00 degrees
Atoms (fractional coordinates):
Pr (0.500, 0.500, 0.500)
Pr (0.000, 0.000, 0.000)
Dy (0.500, 0.500, 0.000)
Sm (0.000, 0.217, 0.811)
Er (0.000, 0.285, 0.146)
Dy (0.000, 0.000, 0.500)
Sm (0.000, 0.783, 0.189)
Er (0.500, 0.785, 0.354)
Sm (0.500, 0.283, 0.311)
Sm (0.500, 0.717, 0.689)
Er (0.000, 0.715, 0.854)
Er (0.500, 0.215, 0.646)

Energy of formation   26 kJ per mole of atoms


[3]
VASP calculation (PBE-GGA) on a relaxed La5Pr2Er12 crystal.

Cell lengths 6.220, 10.740, 12.927 Å; angles 133.50, 94.59, 84.43 degrees
Atoms (fractional coordinates):
Er (0.787, 0.421, 0.659)
Er (0.475, 0.051, 0.394)
Er (0.683, 0.632, 0.236)
Er (0.213, 0.579, 0.341)
Er (0.944, 0.102, 0.287)
Er (0.368, 0.264, 0.975)
Er (0.317, 0.368, 0.764)
La (0.737, 0.525, 0.447)
Er (0.056, 0.898, 0.713)
La (0.843, 0.314, 0.867)
La (0.000, 0.000, 0.500)
Er (0.103, 0.789, 0.921)
Er (0.897, 0.211, 0.079)
Er (0.525, 0.949, 0.606)
Pr (0.420, 0.155, 0.182)
Er (0.632, 0.736, 0.025)
Pr (0.580, 0.845, 0.818)
La (0.263, 0.475, 0.553)
La (0.157, 0.686, 0.133)

Energy of formation   3 kJ per mole of atoms


[4]
VASP calculation (PBE-GGA) on a relaxed Y3AgO6 crystal.

Cell lengths 5.618, 7.174, 7.174 Å; angles 102.62, 90.00, 90.00 degrees
Atoms (fractional coordinates):
O (0.691, 0.895, 0.417)
O (0.691, 0.583, 0.105)
O (0.691, 0.644, 0.677)
Ag (0.973, 0.145, 0.855)
Y (0.968, 0.680, 0.909)
Y (0.914, 0.602, 0.398)
O (0.766, 0.978, 0.022)
O (0.266, 0.022, 0.978)
O (0.634, 0.220, 0.780)
Y (0.968, 0.091, 0.320)
O (0.191, 0.677, 0.644)
O (0.691, 0.323, 0.356)
O (0.191, 0.356, 0.323)
O (0.134, 0.780, 0.220)
Ag (0.473, 0.855, 0.145)
Y (0.414, 0.398, 0.602)
O (0.191, 0.417, 0.895)
Y (0.468, 0.909, 0.680)
Y (0.468, 0.320, 0.091)
O (0.191, 0.105, 0.583)

Formation energy (no corrections)   -2.58 eV/atom


[5]
VASP calculation (PBE-GGA) on a relaxed Er3Hg2Pt crystal.

Cell lengths 3.591, 3.591, 10.992 Å; angles 90.00, 90.00, 90.00 degrees
Atoms (fractional coordinates):
Er (0.000, 0.000, 0.648)
Hg (0.500, 0.500, 0.170)
Er (0.000, 0.000, 0.000)
Hg (0.500, 0.500, 0.830)
Er (0.000, 0.000, 0.352)
Pt (0.500, 0.500, 0.500)

Relative energy among the computed polymorphs   0 meV/atom
Energy of formation   -72 kJ per mole of atoms


[6]
VASP calculation (PBE-GGA) on a relaxed DyAgBi2S5 crystal.

Cell lengths 4.025, 9.546, 13.061 Å; angles 90.00, 90.00, 102.17 degrees
Atoms (fractional coordinates):
S (0.939, 0.879, 0.560)
Bi (0.841, 0.681, 0.194)
Bi (0.910, 0.821, 0.752)
S (0.348, 0.696, 0.056)
S (0.703, 0.406, 0.161)
Bi (0.090, 0.179, 0.252)
Ag (0.435, 0.871, 0.445)
Ag (0.565, 0.129, 0.945)
S (0.300, 0.601, 0.369)
S (0.652, 0.304, 0.556)
S (0.297, 0.594, 0.661)
S (0.503, 0.006, 0.778)
Bi (0.159, 0.319, 0.694)
S (0.700, 0.399, 0.869)
Dy (0.797, 0.593, 0.508)
S (0.497, 0.994, 0.278)
S (0.061, 0.121, 0.060)
Dy (0.203, 0.407, 0.008)

Formation energy (no corrections)   -0.74 eV/atom